Here is a geometry-optimized Nd11Ni4Hg9 structure from Alexandria. Energies are from PBE.

a b c (Å): 14.753 22.157 3.734
angles (deg): 90.00 90.00 90.00
Space group Cmmm (No. 65)
Inequivalent atoms, fractional coordinates:
Nd 0.000 0.000 0.000 x2
Nd 0.000 0.166 0.000 x4
Nd 0.000 0.374 0.000 x4
Nd 0.191 0.500 0.000 x4
Nd 0.248 0.168 0.000 x8
Ni 0.150 0.400 0.500 x8
Hg 0.000 0.500 0.500 x2
Hg 0.105 0.265 0.500 x8
Hg 0.147 0.072 0.500 x8

Computed properties:
Magnetic moment = 0.0 μB per cell
N(E_F) = 41.1 states/eV/cell
Calculated volume = 1220.43 Å³/cell
Uncorrected energy = -178.05 eV for the cell shown

Here is a geometry-optimized Nd4NiHg2 structure from Alexandria. Energies are from PBE.

a b c (Å): 5.291 5.291 15.549
angles (deg): 90.00 90.00 90.00
Space group I4/mmm (No. 139)
Inequivalent atoms, fractional coordinates:
Nd 0.000 0.000 0.183 x4
Nd 0.000 0.500 0.000 x4
Ni 0.000 0.000 0.000 x2
Hg 0.000 0.000 0.377 x4

Computed properties:
Magnetic moment = 0.0 μB per cell
N(E_F) = 17.0 states/eV/cell
Calculated volume = 435.32 Å³/cell
Uncorrected energy = -53.75 eV for the cell shown

Here is a geometry-optimized Nd2NiHg structure from Alexandria. Energies are from PBE.

a b c (Å): 4.170 5.071 10.211
angles (deg): 90.00 90.00 90.00
Space group Immm (No. 71)
Inequivalent atoms, fractional coordinates:
Nd 0.000 0.000 0.171 x4
Ni 0.000 0.500 0.500 x2
Hg 0.000 0.000 0.500 x2

Computed properties:
Magnetic moment = 0.0 μB per cell
N(E_F) = 7.9 states/eV/cell
Calculated volume = 215.89 Å³/cell
Uncorrected energy = -32.30 eV for the cell shown